# PBE CaDyCd4, relaxed
# uncorrected energy = -1.96 eV per atom
# E_form = -0.249 eV/atom
# distance to the lowest polymorph of the same formula = 0.081 eV/atom
data_CaDyCd4
_chemical_formula_sum 'Ca1 Dy1 Cd4'
_cell_length_a 3.521
_cell_length_b 6.474
_cell_length_c 8.208
_cell_angle_alpha 115.07
_cell_angle_beta 77.61
_cell_angle_gamma 74.22
_symmetry_space_group_name_H-M 'P 1'
_symmetry_Int_Tables_number 1
loop_
_symmetry_equiv_pos_as_xyz
'x,y,z'
loop_
_atom_site_label
_atom_site_fract_x
_atom_site_fract_y
_atom_site_fract_z
Ca1 0.000 0.000 0.000
Cd1 0.849 0.472 0.831
Cd2 0.327 0.000 0.346
Cd3 0.151 0.528 0.169
Cd4 0.673 0.000 0.654
Dy1 0.500 0.500 0.500